Entry from the Alexandria database: a relaxed structure of TlSiNi3 (PBE).

Cell and atoms, written as POSCAR:
```
TlSiNi3
1.0
4.281 0.000 0.000
0.000 4.281 0.000
0.000 0.000 4.281
Tl Si Ni
1 1 3
Direct
0.000 0.000 0.000
0.500 0.500 0.500
0.000 0.500 0.500
0.500 0.000 0.500
0.500 0.500 0.000
```

## Properties
* SG: Pm-3m (221)
* total magnetic moment: 0.00 μB/cell
* energy relative to the elements, uncorrected: 0.25 eV/atom
* energy above the most stable polymorph in this dataset: 0.00 eV/f.u.